(1)
# GGA-PBEsol ReTc3, optimized geometry
# * spin magnetization: 2.976 μB/f.u.
# * density of states at the Fermi level: 4.7 states/eV/cell
# * calculated formation energy: 2741.4 meV per atom
data_ReTc3
_symmetry_space_group_name_H-M 'P m -3 m'
_symmetry_Int_Tables_number 221
_symmetry_space_group_name_Hall '-P 4 2 3'
_cell_length_a 4.6689
_cell_length_b 4.6689
_cell_length_c 4.6689
_cell_angle_alpha 90.00
_cell_angle_beta 90.00
_cell_angle_gamma 90.00
loop_
_atom_site_label
_atom_site_fract_x
_atom_site_fract_y
_atom_site_fract_z
Re1 0.0000 0.0000 0.0000
Tc1 0.0000 0.0000 0.5000

***

(2)
# GGA-PBEsol Re17Tc12, optimized geometry
# * spin magnetization: 0.000 μB/f.u.
# * density of states at the Fermi level: 45.1 states/eV/cell
# * calculated formation energy: 33.4 meV per atom
data_Re17Tc12
_symmetry_space_group_name_H-M 'I -4 3 m'
_symmetry_Int_Tables_number 217
_symmetry_space_group_name_Hall 'I -4 2 3'
_cell_length_a 9.4405
_cell_length_b 9.4405
_cell_length_c 9.4405
_cell_angle_alpha 90.00
_cell_angle_beta 90.00
_cell_angle_gamma 90.00
loop_
_atom_site_label
_atom_site_fract_x
_atom_site_fract_y
_atom_site_fract_z
Re1 0.0000 0.0000 0.0000
Re2 0.0410 0.3568 0.3568
Re3 0.1798 0.1798 0.8202
Tc1 0.0894 0.0894 0.2805

***

(3)
# GGA-PBEsol Re8Tc, optimized geometry
# * spin magnetization: 0.001 μB/f.u.
# * density of states at the Fermi level: 14.8 states/eV/cell
# * calculated formation energy: 63.2 meV per atom
data_Re8Tc
_symmetry_space_group_name_H-M 'I 4/m m m'
_symmetry_Int_Tables_number 139
_symmetry_space_group_name_Hall '-I 4 2'
_cell_length_a 8.2261
_cell_length_b 8.2261
_cell_length_c 3.8781
_cell_angle_alpha 90.00
_cell_angle_beta 90.00
_cell_angle_gamma 90.00
loop_
_atom_site_label
_atom_site_fract_x
_atom_site_fract_y
_atom_site_fract_z
Re1 0.0000 0.3327 0.0000
Re2 0.1662 0.1662 0.5000
Tc1 0.0000 0.0000 0.0000

***

(4)
# GGA-PBEsol ReTc3, optimized geometry
# * spin magnetization: 0.001 μB/f.u.
# * density of states at the Fermi level: 3.8 states/eV/cell
# * calculated formation energy: -2.6 meV per atom
data_ReTc3
_symmetry_space_group_name_H-M 'P -6 m 2'
_symmetry_Int_Tables_number 187
_symmetry_space_group_name_Hall 'P -6 2'
_cell_length_a 2.7277
_cell_length_b 2.7277
_cell_length_c 8.7626
_cell_angle_alpha 90.00
_cell_angle_beta 90.00
_cell_angle_gamma 120.00
loop_
_atom_site_label
_atom_site_fract_x
_atom_site_fract_y
_atom_site_fract_z
Re1 0.0000 0.0000 0.0000
Tc1 0.0000 0.0000 0.5000
Tc2 0.6667 0.3333 0.2522

***

(5)
# GGA-PBEsol ReTc3, optimized geometry
# * spin magnetization: 0.000 μB/f.u.
# * density of states at the Fermi level: 8.3 states/eV/cell
# * calculated formation energy: 67.0 meV per atom
data_ReTc3
_symmetry_space_group_name_H-M 'I 4/m m m'
_symmetry_Int_Tables_number 139
_symmetry_space_group_name_Hall '-I 4 2'
_cell_length_a 3.8412
_cell_length_b 3.8412
_cell_length_c 7.6898
_cell_angle_alpha 90.00
_cell_angle_beta 90.00
_cell_angle_gamma 90.00
loop_
_atom_site_label
_atom_site_fract_x
_atom_site_fract_y
_atom_site_fract_z
Re1 0.0000 0.0000 0.0000
Tc1 0.0000 0.0000 0.5000
Tc2 0.0000 0.5000 0.2500

***

(6)
# GGA-PBEsol ReTc2Te, optimized geometry
# * formation energy from raw total energies: 1.9 eV/f.u.
# * spin magnetization: 0.000 μB/f.u.
# * density of states at the Fermi level: 4.8 states/eV/cell
data_ReTc2Te
_symmetry_space_group_name_H-M 'P m m m'
_symmetry_Int_Tables_number 47
_cell_length_a 2.9505
_cell_length_b 3.8519
_cell_length_c 5.5752
_cell_angle_alpha 90.00
_cell_angle_beta 90.00
_cell_angle_gamma 90.00
loop_
_symmetry_equiv_pos_as_xyz
'x,y,z'
'-x,-y,-z'
'-x,-y,z'
'x,y,-z'
'x,-y,-z'
'-x,y,z'
'-x,y,-z'
'x,-y,z'
loop_
_atom_site_label
_atom_site_fract_x
_atom_site_fract_y
_atom_site_fract_z
Re1 0.0000 0.0000 0.0000
Tc1 0.5000 0.5000 0.2278
Te1 0.0000 0.0000 0.5000

***

(7)
# GGA-PBEsol Re3TcTe, optimized geometry
# * formation energy from raw total energies: 10.7 eV/f.u.
# * spin magnetization: 0.001 μB/f.u.
# * density of states at the Fermi level: 5.9 states/eV/cell
data_Re3TcTe
_symmetry_space_group_name_H-M 'P m -3 m'
_symmetry_Int_Tables_number 221
_symmetry_space_group_name_Hall '-P 4 2 3'
_cell_length_a 4.6498
_cell_length_b 4.6498
_cell_length_c 4.6498
_cell_angle_alpha 90.00
_cell_angle_beta 90.00
_cell_angle_gamma 90.00
loop_
_atom_site_label
_atom_site_fract_x
_atom_site_fract_y
_atom_site_fract_z
Re1 0.0000 0.0000 0.5000
Tc1 0.0000 0.0000 0.0000
Te1 0.5000 0.5000 0.5000

***

(8)
# GGA-PBEsol ReTcTe2, optimized geometry
# * formation energy from raw total energies: 4.4 eV/f.u.
# * spin magnetization: 0.001 μB/f.u.
# * density of states at the Fermi level: 10.1 states/eV/cell
data_ReTcTe2
_symmetry_space_group_name_H-M 'I m m m'
_symmetry_Int_Tables_number 71
_symmetry_space_group_name_Hall '-I 2 2'
_cell_length_a 3.2027
_cell_length_b 5.4415
_cell_length_c 8.6031
_cell_angle_alpha 90.00
_cell_angle_beta 90.00
_cell_angle_gamma 90.00
loop_
_atom_site_label
_atom_site_fract_x
_atom_site_fract_y
_atom_site_fract_z
Re1 0.0000 0.0000 0.0000
Tc1 0.0000 0.0000 0.5000
Te1 0.0000 0.5000 0.2487

***

(9)
# GGA-PBEsol ReTc2Te, optimized geometry
# * formation energy from raw total energies: 1.5 eV/f.u.
# * spin magnetization: 0.000 μB/f.u.
# * density of states at the Fermi level: 1.7 states/eV/cell
data_ReTc2Te
_symmetry_space_group_name_H-M 'P 4 m m'
_symmetry_Int_Tables_number 99
_cell_length_a 3.0493
_cell_length_b 3.0493
_cell_length_c 6.7261
_cell_angle_alpha 90.00
_cell_angle_beta 90.00
_cell_angle_gamma 90.00
loop_
_symmetry_equiv_pos_as_xyz
'x,y,z'
'-y,x,z'
'-x,-y,z'
'y,-x,z'
'-x,y,z'
'y,x,z'
'x,-y,z'
'-y,-x,z'
loop_
_atom_site_label
_atom_site_fract_x
_atom_site_fract_y
_atom_site_fract_z
Re1 0.0000 0.0000 0.0000
Tc1 0.0000 0.0000 0.4825
Tc2 0.5000 0.5000 0.2336
Te1 0.5000 0.5000 0.7276

***

(10)
# GGA-PBEsol ReTc2Te, optimized geometry
# * formation energy from raw total energies: 1.7 eV/f.u.
# * spin magnetization: 0.000 μB/f.u.
# * density of states at the Fermi level: 8.3 states/eV/cell
data_ReTc2Te
_symmetry_space_group_name_H-M 'C 1 m 1'
_symmetry_Int_Tables_number 8
_cell_length_a 9.3372
_cell_length_b 2.9701
_cell_length_c 4.6046
_cell_angle_alpha 90.00
_cell_angle_beta 97.33
_cell_angle_gamma 90.00
loop_
_symmetry_equiv_pos_as_xyz
'x,y,z'
'x,-y,z'
'x+1/2,y+1/2,z'
'x+1/2,-y+1/2,z'
loop_
_atom_site_label
_atom_site_fract_x
_atom_site_fract_y
_atom_site_fract_z
Re1 0.0000 0.0000 0.0000
Tc1 0.2370 0.5000 0.1929
Tc2 0.4691 0.0000 0.4486
Te1 0.2321 0.0000 0.6960

***

- Among the records above, which one has the lowest density of states at the Fermi level?
  number 9